A geometry-optimized CeYBi structure, computed with PBE.

Cell lengths 4.117, 4.117, 6.118 Å; angles 109.67, 109.67, 90.00 degrees
Fractional positions:
Y1 0.966 0.966 0.933
Ce1 0.273 0.273 0.547
Bi1 0.610 0.610 0.221

Values from the calculation:
**DOS at the Fermi energy**: 8.5 states/eV/cell
**ΔE_f**: -394 meV/atom